# 1
Material: Tc2PdN
Method: DFT, PBE
State: relaxed

Values from the calculation:
crystal system = tetragonal

abc: 4.9369 4.9369 10.5617
angles: 90.00 90.00 90.00
Space group I-42d (No. 122)
Symmetry-distinct sites (fractional):
Tc: 0.1394 0.2500 0.1250 x8
Pd: 0.0000 0.0000 0.5000 x4
N: 0.0000 0.0000 0.0000 x4

# 2
Material: Tc3PdN
Method: DFT, PBE
State: relaxed

Values from the calculation:
offset from the most stable computed form = 3185 meV per atom
crystal system = cubic

abc: 4.9315 4.9315 4.9315
angles: 90.00 90.00 90.00
Space group Pm-3m (No. 221)
Symmetry-distinct sites (fractional):
Tc: 0.0000 0.0000 0.5000 x3
Pd: 0.0000 0.0000 0.0000 x1
N: 0.5000 0.5000 0.5000 x1

# 3
Material: Tc3PdN
Method: DFT, PBE
State: relaxed

Values from the calculation:
offset from the most stable computed form = 0 meV per atom
crystal system = cubic

abc: 4.0435 4.0435 4.0435
angles: 90.00 90.00 90.00
Space group Pm-3m (No. 221)
Symmetry-distinct sites (fractional):
Tc: 0.0000 0.0000 0.5000 x3
Pd: 0.5000 0.5000 0.5000 x1
N: 0.0000 0.0000 0.0000 x1

# 4
Material: Tc2PdN
Method: DFT, PBE
State: relaxed

Values from the calculation:
crystal system = trigonal

abc: 3.1461 3.1461 18.8479
angles: 90.00 90.00 120.00
Space group R3m (No. 160, hexagonal axes)
Symmetry-distinct sites (fractional):
Tc: 0.0000 0.0000 0.0000 x3
Tc: 0.0000 0.0000 0.2273 x3
Pd: 0.0000 0.0000 0.4447 x3
N: 0.0000 0.0000 0.6017 x3

| no. | raw formation energy (eV/atom) |
| --- | --- |
| 1 | 0.5886 |
| 2 | 3.2221 |
| 3 | 0.0373 |
| 4 | 0.3052 |